# 1
Computed, not measured: CuTc2Ru after structural relaxation at the PBE level of DFT.

Results
* offset from the most stable computed form: 0.258 eV per atom
* M_tot: 0.00 μB/atom
* ΔH_f (0 K): 1.63 eV per formula unit
* space-group type: P4/mmm, No. 123

abc: 4.543 4.543 2.730
angles: 90.00 90.00 90.00
Fractional coordinates of all 4 atoms:
Tc1 0.000 0.000 0.000
Tc2 0.500 0.500 0.000
Ru1 0.000 0.500 0.500
Cu1 0.500 0.000 0.500

# 2
Computed, not measured: CuTc2Ru after structural relaxation at the PBE level of DFT.

Results
* offset from the most stable computed form: 0.044 eV per atom
* M_tot: 0.00 μB/atom
* ΔH_f (0 K): 0.77 eV per formula unit
* space-group type: R-3m, No. 166

abc: 8.945 8.945 8.945
angles: 17.45 17.45 17.45
Fractional coordinates of all 4 atoms:
Tc1 0.499 0.499 0.499
Tc2 0.001 0.001 0.001
Cu1 0.250 0.250 0.250
Ru1 0.750 0.750 0.750

# 3
Computed, not measured: CuTcRu2 after structural relaxation at the PBE level of DFT.

Results
* offset from the most stable computed form: 0.312 eV per atom
* M_tot: 0.00 μB/atom
* ΔH_f (0 K): 1.75 eV per formula unit
* space-group type: Pmmm, No. 47

abc: 2.764 4.537 4.449
angles: 90.00 90.00 90.00
Fractional coordinates of all 4 atoms:
Cu1 0.000 0.500 0.500
Ru1 0.000 0.000 0.000
Ru2 0.500 0.500 0.000
Tc1 0.500 0.000 0.500

# 4
Computed, not measured: Cu2TcRu after structural relaxation at the PBE level of DFT.

Results
* offset from the most stable computed form: 0.287 eV per atom
* M_tot: 0.00 μB/atom
* ΔH_f (0 K): 1.66 eV per formula unit
* space-group type: Fm-3m, No. 225

abc: 4.198 4.198 4.198
angles: 60.00 60.00 60.00
Fractional coordinates of all 4 atoms:
Ru1 0.500 0.500 0.500
Cu1 0.250 0.250 0.250
Cu2 0.750 0.750 0.750
Tc1 0.000 0.000 0.000

# 5
Computed, not measured: CuTcRu2 after structural relaxation at the PBE level of DFT.

Results
* offset from the most stable computed form: 0.178 eV per atom
* M_tot: 0.00 μB/atom
* ΔH_f (0 K): 1.21 eV per formula unit
* space-group type: Fm-3m, No. 225

abc: 4.280 4.280 4.280
angles: 60.00 60.00 60.00
Fractional coordinates of all 4 atoms:
Ru1 0.750 0.750 0.750
Ru2 0.250 0.250 0.250
Tc1 0.500 0.500 0.500
Cu1 0.000 0.000 0.000

# 6
Computed, not measured: Cu2TcRu after structural relaxation at the PBE level of DFT.

Results
* offset from the most stable computed form: 0.067 eV per atom
* M_tot: 0.00 μB/atom
* ΔH_f (0 K): 0.78 eV per formula unit
* space-group type: I-4m2, No. 119

abc: 4.561 4.561 4.561
angles: 131.24 131.24 71.44
Fractional coordinates of all 4 atoms:
Cu1 0.250 0.750 0.500
Cu2 0.000 0.000 0.000
Tc1 0.750 0.250 0.500
Ru1 0.500 0.500 0.000

# 7
Computed, not measured: Cu2TcRu after structural relaxation at the PBE level of DFT.

Results
* offset from the most stable computed form: 0.296 eV per atom
* M_tot: 0.00 μB/atom
* ΔH_f (0 K): 1.69 eV per formula unit
* space-group type: P4/mmm, No. 123

abc: 4.283 4.283 2.856
angles: 90.00 90.00 90.00
Fractional coordinates of all 4 atoms:
Cu1 0.000 0.000 0.000
Cu2 0.500 0.500 0.000
Ru1 0.500 0.000 0.500
Tc1 0.000 0.500 0.500

# 8
Computed, not measured: CuTcRu after structural relaxation at the PBE level of DFT.

Results
* offset from the most stable computed form: 0.155 eV per atom
* M_tot: 0.00 μB/atom
* ΔH_f (0 K): 0.79 eV per formula unit
* space-group type: P-6m2, No. 187

abc: 4.231 4.231 2.642
angles: 90.00 90.00 120.00
Fractional coordinates of all 3 atoms:
Tc1 0.333 0.667 0.667
Ru1 0.667 0.333 0.167
Cu1 0.000 0.000 0.166

# 9
Computed, not measured: CuTc2Ru after structural relaxation at the PBE level of DFT.

Results
* offset from the most stable computed form: 0.030 eV per atom
* M_tot: 0.00 μB/atom
* ΔH_f (0 K): 0.71 eV per formula unit
* space-group type: P4mm, No. 99

abc: 2.721 2.721 7.520
angles: 90.00 90.00 90.00
Fractional coordinates of all 4 atoms:
Tc1 0.000 0.000 0.988
Tc2 0.500 0.500 0.258
Ru1 0.500 0.500 0.750
Cu1 0.000 0.000 0.503

# 10
Computed, not measured: CuTcRu2 after structural relaxation at the PBE level of DFT.

Results
* offset from the most stable computed form: 0.066 eV per atom
* M_tot: 0.00 μB/atom
* ΔH_f (0 K): 0.76 eV per formula unit
* space-group type: C2/m, No. 12

abc: 4.649 4.649 4.655
angles: 80.74 80.74 33.69
Fractional coordinates of all 4 atoms:
Tc1 0.750 0.750 0.750
Cu1 0.250 0.250 0.250
Ru1 0.496 0.496 0.501
Ru2 0.004 0.004 0.999

# 11
Computed, not measured: CuTcRu2 after structural relaxation at the PBE level of DFT.

Results
* offset from the most stable computed form: 0.282 eV per atom
* M_tot: 0.00 μB/atom
* ΔH_f (0 K): 1.63 eV per formula unit
* space-group type: P4/mmm, No. 123

abc: 4.434 4.434 2.837
angles: 90.00 90.00 90.00
Fractional coordinates of all 4 atoms:
Tc1 0.500 0.000 0.500
Ru1 0.500 0.500 0.000
Ru2 0.000 0.000 0.000
Cu1 0.000 0.500 0.500

# 12
Computed, not measured: Cu2TcRu after structural relaxation at the PBE level of DFT.

Results
* offset from the most stable computed form: 0.184 eV per atom
* M_tot: 0.00 μB/atom
* ΔH_f (0 K): 1.25 eV per formula unit
* space-group type: Cmmm, No. 65

abc: 5.638 4.739 2.657
angles: 90.06 61.78 117.53
Fractional coordinates of all 4 atoms:
Cu1 0.000 0.000 0.000
Cu2 0.500 0.000 0.500
Tc1 0.500 0.500 0.000
Ru1 0.000 0.500 0.500

# 13
Computed, not measured: CuTc2Ru after structural relaxation at the PBE level of DFT.

Results
* offset from the most stable computed form: 0.000 eV per atom
* M_tot: 0.00 μB/atom
* ΔH_f (0 K): 0.59 eV per formula unit
* space-group type: P2/m, No. 10

abc: 3.895 2.701 5.901
angles: 62.81 90.00 90.00
Fractional coordinates of all 4 atoms:
Tc1 0.000 0.503 0.493
Tc2 0.000 0.997 0.007
Ru1 0.500 0.750 0.750
Cu1 0.500 0.250 0.250

# 14
Computed, not measured: Cu2TcRu after structural relaxation at the PBE level of DFT.

Results
* offset from the most stable computed form: 0.151 eV per atom
* M_tot: 0.00 μB/atom
* ΔH_f (0 K): 1.11 eV per formula unit
* space-group type: P2/m, No. 10

abc: 2.685 4.522 5.370
angles: 55.00 90.00 90.00
Fractional coordinates of all 4 atoms:
Ru1 0.500 0.500 0.500
Tc1 0.000 0.000 0.500
Cu1 0.500 0.500 0.000
Cu2 0.000 0.000 0.000

# 15
Computed, not measured: CuTcRu2 after structural relaxation at the PBE level of DFT.

Results
* offset from the most stable computed form: 0.049 eV per atom
* M_tot: 0.00 μB/atom
* ΔH_f (0 K): 0.70 eV per formula unit
* space-group type: Pmmm, No. 47

abc: 3.791 2.717 5.977
angles: 62.99 90.00 90.00
Fractional coordinates of all 4 atoms:
Ru1 0.000 0.004 0.996
Ru2 0.000 0.496 0.504
Cu1 0.500 0.750 0.750
Tc1 0.500 0.250 0.250

# 16
Computed, not measured: CuTc2Ru after structural relaxation at the PBE level of DFT.

Results
* offset from the most stable computed form: 0.026 eV per atom
* M_tot: 0.00 μB/atom
* ΔH_f (0 K): 0.70 eV per formula unit
* space-group type: P4/mmm, No. 123

abc: 2.695 2.695 7.631
angles: 90.00 90.00 90.00
Fractional coordinates of all 4 atoms:
Cu1 0.500 0.500 0.250
Tc1 0.000 0.000 0.498
Tc2 0.000 0.000 0.002
Ru1 0.500 0.500 0.750

# 17
Computed, not measured: CuTcRu2 after structural relaxation at the PBE level of DFT.

Results
* offset from the most stable computed form: 0.583 eV per atom
* M_tot: 0.00 μB/atom
* ΔH_f (0 K): 2.83 eV per formula unit
* space-group type: I-42d, No. 122

abc: 6.892 6.892 5.546
angles: 51.59 51.59 90.00
Fractional coordinates of all 8 atoms:
Cu1 0.500 0.500 0.000
Cu2 0.250 0.750 0.500
Ru1 0.375 0.339 0.750
Ru2 0.661 0.125 0.250
Ru3 0.089 0.625 0.250
Ru4 0.875 0.911 0.750
Tc1 0.750 0.250 0.500
Tc2 0.000 0.000 0.000

# 18
Computed, not measured: Cu2TcRu after structural relaxation at the PBE level of DFT.

Results
* offset from the most stable computed form: 0.187 eV per atom
* M_tot: 0.00 μB/atom
* ΔH_f (0 K): 1.26 eV per formula unit
* space-group type: P4/mmm, No. 123

abc: 2.552 2.552 8.168
angles: 90.00 90.00 89.98
Fractional coordinates of all 4 atoms:
Cu1 0.000 0.000 0.003
Cu2 0.000 0.000 0.497
Tc1 0.500 0.500 0.750
Ru1 0.500 0.500 0.250

# 19
Computed, not measured: CuTc2Ru after structural relaxation at the PBE level of DFT.

Results
* offset from the most stable computed form: 0.624 eV per atom
* M_tot: 0.00 μB/atom
* ΔH_f (0 K): 3.09 eV per formula unit
* space-group type: I-42d, No. 122

abc: 6.957 6.957 5.543
angles: 51.13 51.13 90.00
Fractional coordinates of all 8 atoms:
Ru1 0.000 0.000 0.000
Ru2 0.750 0.250 0.500
Cu1 0.500 0.500 0.000
Cu2 0.250 0.750 0.500
Tc1 0.375 0.352 0.750
Tc2 0.875 0.898 0.750
Tc3 0.102 0.625 0.250
Tc4 0.648 0.125 0.250

# 20
Computed, not measured: CuTcRu after structural relaxation at the PBE level of DFT.

Results
* offset from the most stable computed form: 0.036 eV per atom
* M_tot: 0.00 μB/atom
* ΔH_f (0 K): 0.43 eV per formula unit
* space-group type: P3m1, No. 156

abc: 2.717 2.717 6.529
angles: 90.00 90.00 120.00
Fractional coordinates of all 3 atoms:
Tc1 0.000 0.000 0.446
Ru1 0.667 0.333 0.131
Cu1 0.333 0.667 0.790

# 21
Computed, not measured: CuTc2Ru after structural relaxation at the PBE level of DFT.

Results
* offset from the most stable computed form: 0.022 eV per atom
* M_tot: 0.00 μB/atom
* ΔH_f (0 K): 0.68 eV per formula unit
* space-group type: Pmm2, No. 25

abc: 2.697 3.856 5.329
angles: 90.00 90.00 90.00
Fractional coordinates of all 4 atoms:
Tc1 0.000 0.000 0.998
Tc2 0.500 0.500 0.259
Cu1 0.000 0.000 0.501
Ru1 0.500 0.500 0.743

# 22
Computed, not measured: Cu2TcRu after structural relaxation at the PBE level of DFT.

Results
* offset from the most stable computed form: 0.180 eV per atom
* M_tot: 0.14 μB/atom
* ΔH_f (0 K): 1.23 eV per formula unit
* space-group type: R-3m, No. 166

abc: 8.888 8.888 8.888
angles: 17.19 17.19 17.19
Fractional coordinates of all 4 atoms:
Ru1 0.250 0.250 0.250
Cu1 0.000 0.000 0.000
Cu2 0.500 0.500 0.500
Tc1 0.750 0.750 0.750

# 23
Computed, not measured: Cu2TcRu after structural relaxation at the PBE level of DFT.

Results
* offset from the most stable computed form: 0.152 eV per atom
* M_tot: 0.00 μB/atom
* ΔH_f (0 K): 1.12 eV per formula unit
* space-group type: C2/m, No. 12

abc: 4.663 4.663 4.523
angles: 80.21 80.21 33.51
Fractional coordinates of all 4 atoms:
Cu1 0.500 0.500 0.500
Cu2 0.000 0.000 0.000
Ru1 0.750 0.750 0.750
Tc1 0.250 0.250 0.250

# 24
Computed, not measured: CuTcRu after structural relaxation at the PBE level of DFT.

Results
* offset from the most stable computed form: 0.021 eV per atom
* M_tot: 0.00 μB/atom
* ΔH_f (0 K): 0.39 eV per formula unit
* space-group type: C2/m, No. 12

abc: 4.617 7.985 4.616
angles: 90.00 106.63 90.00
Fractional coordinates of all 12 atoms:
Ru1 0.500 0.172 0.000
Ru2 0.500 0.828 0.000
Ru3 0.500 0.672 0.500
Ru4 0.500 0.328 0.500
Cu1 0.500 0.500 0.000
Cu2 0.000 0.000 0.000
Cu3 0.500 0.000 0.500
Cu4 0.000 0.500 0.500
Tc1 0.000 0.668 0.000
Tc2 0.000 0.168 0.500
Tc3 0.000 0.832 0.500
Tc4 0.000 0.332 0.000

# 25
Computed, not measured: CuTcRu after structural relaxation at the PBE level of DFT.

Results
* offset from the most stable computed form: 0.044 eV per atom
* M_tot: 0.00 μB/atom
* ΔH_f (0 K): 0.46 eV per formula unit
* space-group type: C2, No. 5

abc: 5.213 4.619 8.051
angles: 90.00 123.10 90.00
Fractional coordinates of all 12 atoms:
Tc1 0.997 0.206 0.668
Tc2 0.003 0.706 0.832
Tc3 0.997 0.706 0.168
Tc4 0.003 0.206 0.332
Ru1 0.495 0.373 0.666
Ru2 0.505 0.873 0.834
Ru3 0.495 0.873 0.166
Ru4 0.505 0.373 0.334
Cu1 0.000 0.208 0.000
Cu2 0.500 0.372 0.000
Cu3 0.000 0.708 0.500
Cu4 0.500 0.872 0.500

# 26
Computed, not measured: CuTcRu after structural relaxation at the PBE level of DFT.

Results
* offset from the most stable computed form: 0.153 eV per atom
* M_tot: 0.00 μB/atom
* ΔH_f (0 K): 0.78 eV per formula unit
* space-group type: C2/m, No. 12

abc: 5.460 3.646 8.859
angles: 90.00 111.91 90.00
Fractional coordinates of all 12 atoms:
Cu1 0.158 0.500 0.333
Cu2 0.842 0.500 0.667
Cu3 0.158 0.000 0.833
Cu4 0.842 0.000 0.167
Tc1 0.658 0.000 0.831
Tc2 0.342 0.500 0.669
Tc3 0.342 0.000 0.169
Tc4 0.658 0.500 0.331
Ru1 0.500 0.500 0.000
Ru2 0.000 0.000 0.500
Ru3 0.500 0.000 0.500
Ru4 0.000 0.500 0.000

# 27
Computed, not measured: CuTcRu2 after structural relaxation at the PBE level of DFT.

Results
* offset from the most stable computed form: 0.150 eV per atom
* M_tot: 0.00 μB/atom
* ΔH_f (0 K): 1.10 eV per formula unit
* space-group type: Cmmm, No. 65

abc: 4.622 4.622 2.720
angles: 90.00 90.00 108.47
Fractional coordinates of all 4 atoms:
Ru1 0.000 0.000 0.000
Ru2 0.500 0.500 0.000
Tc1 0.500 0.000 0.500
Cu1 0.000 0.500 0.500

# 28
Computed, not measured: CuTcRu after structural relaxation at the PBE level of DFT.

Results
* offset from the most stable computed form: 0.051 eV per atom
* M_tot: 0.00 μB/atom
* ΔH_f (0 K): 0.48 eV per formula unit
* space-group type: Cm, No. 8

abc: 5.288 3.774 8.620
angles: 90.00 107.54 90.00
Fractional coordinates of all 12 atoms:
Ru1 0.637 0.500 0.447
Ru2 0.971 0.500 0.103
Ru3 0.971 0.000 0.603
Ru4 0.637 0.000 0.947
Cu1 0.283 0.000 0.289
Cu2 0.133 0.500 0.440
Cu3 0.283 0.500 0.789
Cu4 0.133 0.000 0.940
Tc1 0.461 0.500 0.129
Tc2 0.775 0.000 0.275
Tc3 0.461 0.000 0.629
Tc4 0.775 0.500 0.775